Record 1
Below is a relaxed structure of Cd3In12P5, with properties calculated at the PBE-GGA level.

## Properties
Its density of states at the Fermi level is 0.4126 states/eV per atom. The total energy comes out at -243.1 eV per cell. The magnetic moment is 0.00 μB per cell. The value obtained for the formation energy is 1.87 eV per formula unit. Its mass density is 5.6 g/cm³.

abc: 14.1961 14.1961 14.1961
angles: 109.47 109.47 109.47
Sites, in units of the cell vectors:
In (0.0779, 0.9029, 0.1286)
In (0.5971, 0.7256, 0.6750)
Cd (0.8750, 0.1250, 0.2500)
Cd (0.6250, 0.2500, 0.3750)
In (0.9493, 0.3714, 0.2744)
In (0.2256, 0.5507, 0.6286)
In (0.7744, 0.3250, 0.9029)
P (0.8750, 0.6250, 0.7500)
P (0.7500, 0.6250, 0.3750)
In (0.4493, 0.6750, 0.0779)
In (0.9221, 0.0971, 0.8714)
In (0.2744, 0.4029, 0.8250)
In (0.8250, 0.9221, 0.0507)
P (0.5000, 0.5000, 0.5000)
In (0.7256, 0.1286, 0.0507)
In (0.6286, 0.5779, 0.9029)
In (0.4029, 0.1286, 0.5779)
Cd (0.2500, 0.6250, 0.8750)
In (0.2256, 0.6750, 0.0971)
In (0.0507, 0.6286, 0.7256)
In (0.7744, 0.4493, 0.3714)
In (0.9029, 0.8250, 0.7744)
In (0.2744, 0.8714, 0.9493)
In (0.0779, 0.1750, 0.4493)
In (0.5971, 0.8714, 0.4221)
In (0.4221, 0.3714, 0.5971)
Cd (0.2500, 0.1250, 0.3750)
In (0.6750, 0.4493, 0.5779)
P (0.6250, 0.8750, 0.2500)
In (0.6286, 0.0507, 0.2256)
Cd (0.8750, 0.7500, 0.1250)
P (0.1250, 0.7500, 0.3750)
P (0.5000, 0.5000, 0.0000)
In (0.1286, 0.4029, 0.0779)
In (0.5507, 0.2256, 0.1286)
P (0.5000, 0.0000, 0.5000)
In (0.3714, 0.9493, 0.7744)
In (0.1286, 0.7256, 0.5507)
P (0.0000, 0.0000, 0.5000)
P (0.6250, 0.7500, 0.8750)
In (0.4029, 0.2744, 0.3250)
In (0.9493, 0.5779, 0.1750)
P (0.0000, 0.5000, 0.5000)
Cd (0.6250, 0.3750, 0.7500)
P (0.3750, 0.1250, 0.7500)
In (0.4493, 0.7744, 0.8714)
Cd (0.1250, 0.2500, 0.8750)
Cd (0.1250, 0.8750, 0.7500)
In (0.1750, 0.0971, 0.7256)
Cd (0.3750, 0.6250, 0.2500)
P (0.3750, 0.2500, 0.1250)
In (0.5779, 0.9493, 0.6750)
In (0.0971, 0.1750, 0.2256)
P (0.2500, 0.3750, 0.6250)
In (0.7256, 0.5971, 0.1750)
Cd (0.7500, 0.8750, 0.6250)
In (0.8250, 0.9029, 0.2744)
Cd (0.3750, 0.7500, 0.6250)
In (0.8714, 0.5971, 0.9221)
In (0.0507, 0.4221, 0.8250)
In (0.3250, 0.7744, 0.4029)
P (0.0000, 0.5000, 0.0000)
In (0.6750, 0.2256, 0.5971)
In (0.0971, 0.9221, 0.3714)
In (0.5507, 0.3250, 0.9221)
In (0.3714, 0.4221, 0.0971)
P (0.1250, 0.3750, 0.2500)
P (0.0000, 0.0000, 0.0000)
Cd (0.7500, 0.3750, 0.1250)
P (0.2500, 0.8750, 0.1250)
In (0.9029, 0.0779, 0.6286)
P (0.8750, 0.2500, 0.6250)
In (0.8714, 0.2744, 0.4493)
P (0.7500, 0.1250, 0.8750)
In (0.1750, 0.0779, 0.9493)
In (0.9221, 0.8250, 0.5507)
P (0.5000, 0.0000, 0.0000)
In (0.3250, 0.5507, 0.4221)
In (0.5779, 0.6286, 0.4029)
In (0.4221, 0.0507, 0.3250)

---

Record 2
Below is a relaxed structure of Cd2InP, with properties calculated at the PBE-GGA level.

## Properties
Its density of states at the Fermi level is 0.5008 states/eV per atom. The total energy comes out at -9.0 eV per cell. The magnetic moment is 0.00 μB per cell. The value obtained for the formation energy is 1.00 eV per formula unit. Its mass density is 7.0 g/cm³.

abc: 5.6925 5.6925 5.6925
angles: 135.79 135.79 64.31
Sites, in units of the cell vectors:
P (0.7500, 0.2500, 0.5000)
Cd (0.2500, 0.7500, 0.5000)
Cd (0.0000, 0.0000, 0.0000)
In (0.5000, 0.5000, 0.0000)

---

Record 3
Below is a relaxed structure of Cd2InP, with properties calculated at the PBE-GGA level.

## Properties
Its density of states at the Fermi level is 0.5111 states/eV per atom. The total energy comes out at -9.0 eV per cell. The magnetic moment is 0.00 μB per cell. The value obtained for the formation energy is 0.99 eV per formula unit. Its mass density is 7.0 g/cm³.

abc: 4.5581 4.5581 4.2467
angles: 90.00 90.00 90.00
Sites, in units of the cell vectors:
Cd (0.5000, 0.5000, 0.0000)
In (0.5000, 0.0000, 0.5000)
P (0.0000, 0.5000, 0.5000)
Cd (0.0000, 0.0000, 0.0000)

---

Record 4
Below is a relaxed structure of Cd2InP, with properties calculated at the PBE-GGA level.

## Properties
Its density of states at the Fermi level is 0.3798 states/eV per atom. The total energy comes out at -9.0 eV per cell. The magnetic moment is 0.00 μB per cell. The value obtained for the formation energy is 1.02 eV per formula unit. Its mass density is 6.8 g/cm³.

abc: 5.0516 5.0516 5.0516
angles: 60.00 60.00 60.00
Sites, in units of the cell vectors:
In (0.5000, 0.5000, 0.5000)
P (0.2500, 0.2500, 0.2500)
Cd (0.7500, 0.7500, 0.7500)
Cd (0.0000, 0.0000, 0.0000)

---

Record 5
Below is a relaxed structure of Cd2InP, with properties calculated at the PBE-GGA level.

## Properties
Its density of states at the Fermi level is 0.3838 states/eV per atom. The total energy comes out at -9.2 eV per cell. The magnetic moment is 0.00 μB per cell. The value obtained for the formation energy is 0.78 eV per formula unit. Its mass density is 6.9 g/cm³.

abc: 6.3522 6.3522 5.4173
angles: 64.83 64.83 27.06
Sites, in units of the cell vectors:
Cd (0.5269, 0.5269, 0.4733)
Cd (0.9731, 0.9731, 0.0267)
P (0.2500, 0.2500, 0.2500)
In (0.7500, 0.7500, 0.7500)

---

Record 6
Below is a relaxed structure of Cd2InP, with properties calculated at the PBE-GGA level.

## Properties
Its density of states at the Fermi level is 0.3929 states/eV per atom. The total energy comes out at -9.2 eV per cell. The magnetic moment is 0.00 μB per cell. The value obtained for the formation energy is 0.81 eV per formula unit. Its mass density is 6.8 g/cm³.

abc: 5.4462 5.4462 5.4462
angles: 137.66 120.85 75.41
Sites, in units of the cell vectors:
In (0.5250, 0.5250, 0.0000)
P (0.7507, 0.2507, 0.5000)
Cd (0.2481, 0.7481, 0.5000)
Cd (0.9763, 0.9763, 0.0000)

---

Record 7
Below is a relaxed structure of CdInP, with properties calculated at the PBE-GGA level.

## Properties
Its density of states at the Fermi level is 0.1209 states/eV per atom. The total energy comes out at -9.0 eV per cell. The magnetic moment is 0.00 μB per cell. For the energy above the lowest structure with this stoichiometry, the calculation gives 0.00 eV/f.u. The value obtained for the formation energy is 0.07 eV per formula unit. Its mass density is 5.4 g/cm³.

abc: 3.9706 3.9706 5.7737
angles: 90.00 90.00 120.00
Sites, in units of the cell vectors:
Cd (0.0000, 0.0000, 0.4213)
P (0.3333, 0.6667, 0.1396)
In (0.0000, 0.0000, 0.8997)

---

Record 8
Below is a relaxed structure of CdInP, with properties calculated at the PBE-GGA level.

## Properties
Its density of states at the Fermi level is 0.2239 states/eV per atom. The total energy comes out at -26.9 eV per cell. The magnetic moment is 0.00 μB per cell. For the energy above the lowest structure with this stoichiometry, the calculation gives 0.02 eV/f.u. The value obtained for the formation energy is 0.08 eV per formula unit. Its mass density is 6.1 g/cm³.

abc: 6.8721 6.8721 6.5025
angles: 58.10 58.10 60.00
Sites, in units of the cell vectors:
P (0.3439, 0.3439, 0.9682)
P (0.6642, 0.6642, 0.0075)
In (0.7511, 0.4802, 0.6759)
Cd (0.2163, 0.6250, 0.2316)
In (0.0928, 0.7511, 0.6759)
Cd (0.6250, 0.9271, 0.2316)
Cd (0.9271, 0.2163, 0.2316)
P (0.0482, 0.0482, 0.8554)
In (0.4802, 0.0928, 0.6759)